(1)
Below is an optimized crystal structure of Nd4SbPbN, with properties calculated at the PBE level.

## Properties
DOS(E_F)   25.7 states/eV per cell
Electronic total energy   -5.9323 eV/atom

a = 6.9388 Å, b = 16.6149 Å, c = 6.9306 Å
α = 90.00°, β = 90.00°, γ = 90.00°
Space group Cmcm (No. 63)
Asymmetric unit:
Nd (0.0000, 0.0888, 0.2500) [4 per cell]
Nd (0.0000, 0.4092, 0.2500) [4 per cell]
Nd (0.2500, 0.2500, 0.0000) [8 per cell]
Sb (0.0000, 0.1093, 0.7500) [4 per cell]
Pb (0.0000, 0.3949, 0.7500) [4 per cell]
N (0.0000, 0.2500, 0.2500) [4 per cell]



(2)
Below is an optimized crystal structure of NdSm2PbN, with properties calculated at the PBE level.

## Properties
DOS(E_F)   2.0 states/eV per cell
Electronic total energy   -6.1489 eV/atom

a = 4.9612 Å, b = 4.9612 Å, c = 5.0401 Å
α = 90.00°, β = 90.00°, γ = 90.00°
Space group P4/mmm (No. 123)
Asymmetric unit:
Nd (0.0000, 0.0000, 0.0000) [1 per cell]
Sm (0.0000, 0.5000, 0.5000) [2 per cell]
Pb (0.5000, 0.5000, 0.0000) [1 per cell]
N (0.0000, 0.0000, 0.5000) [1 per cell]



(3)
Below is an optimized crystal structure of Nd2Sm4Pb3N2, with properties calculated at the PBE level.

## Properties
DOS(E_F)   3.0 states/eV per cell
Electronic total energy   -5.9784 eV/atom

a = 4.8486 Å, b = 4.8486 Å, c = 26.0968 Å
α = 90.00°, β = 90.00°, γ = 90.00°
Space group I4/mmm (No. 139)
Asymmetric unit:
Nd (0.0000, 0.0000, 0.1916) [4 per cell]
Sm (0.0000, 0.5000, 0.0836) [8 per cell]
Pb (0.0000, 0.0000, 0.3224) [4 per cell]
Pb (0.0000, 0.0000, 0.5000) [2 per cell]
N (0.0000, 0.0000, 0.1018) [4 per cell]



(4)
Below is an optimized crystal structure of Nd2SmPbN, with properties calculated at the PBE level.

## Properties
DOS(E_F)   2.0 states/eV per cell
Electronic total energy   -6.1469 eV/atom

a = 5.0406 Å, b = 5.0406 Å, c = 4.9588 Å
α = 90.00°, β = 90.00°, γ = 90.00°
Space group P4/mmm (No. 123)
Asymmetric unit:
Nd (0.0000, 0.5000, 0.0000) [2 per cell]
Sm (0.0000, 0.0000, 0.5000) [1 per cell]
Pb (0.5000, 0.5000, 0.5000) [1 per cell]
N (0.0000, 0.0000, 0.0000) [1 per cell]



(5)
Below is an optimized crystal structure of Nd4SnPbN, with properties calculated at the PBE level.

## Properties
DOS(E_F)   16.7 states/eV per cell
Electronic total energy   -5.8399 eV/atom

a = 6.9675 Å, b = 16.6375 Å, c = 6.9642 Å
α = 90.00°, β = 90.00°, γ = 90.00°
Space group Cmcm (No. 63)
Asymmetric unit:
Nd (0.0000, 0.0885, 0.2500) [4 per cell]
Nd (0.0000, 0.4091, 0.2500) [4 per cell]
Nd (0.2500, 0.2500, 0.0000) [8 per cell]
Sn (0.0000, 0.1092, 0.7500) [4 per cell]
Pb (0.0000, 0.3933, 0.7500) [4 per cell]
N (0.0000, 0.2513, 0.2500) [4 per cell]



(6)
Below is an optimized crystal structure of Tb2NdPbN, with properties calculated at the PBE level.

## Properties
DOS(E_F)   2.2 states/eV per cell
Electronic total energy   -6.1349 eV/atom

a = 4.8564 Å, b = 4.8564 Å, c = 5.0512 Å
α = 90.00°, β = 90.00°, γ = 90.00°
Space group P4/mmm (No. 123)
Asymmetric unit:
Tb (0.0000, 0.5000, 0.0000) [2 per cell]
Nd (0.0000, 0.0000, 0.5000) [1 per cell]
Pb (0.5000, 0.5000, 0.5000) [1 per cell]
N (0.0000, 0.0000, 0.0000) [1 per cell]



Please write out number 4 again, unchanged.
Below is an optimized crystal structure of Nd2SmPbN, with properties calculated at the PBE level.

## Properties
DOS(E_F)   2.0 states/eV per cell
Electronic total energy   -6.1469 eV/atom

a = 5.0406 Å, b = 5.0406 Å, c = 4.9588 Å
α = 90.00°, β = 90.00°, γ = 90.00°
Space group P4/mmm (No. 123)
Asymmetric unit:
Nd (0.0000, 0.5000, 0.0000) [2 per cell]
Sm (0.0000, 0.0000, 0.5000) [1 per cell]
Pb (0.5000, 0.5000, 0.5000) [1 per cell]
N (0.0000, 0.0000, 0.0000) [1 per cell]



Question: Which formula does entry 6 have?
Answer: Tb2NdPbN



Question: Which value of DOS(E_F) does entry 5 give?
Answer: 16.7 states/eV per cell



Question: DOS(E_F) of number 6 (Tb2NdPbN)?
Answer: 2.2 states/eV per cell